1.
Compound: YVZnCr2
Source: the Alexandria database
Functional: PBE
Structure: optimized geometry

Cell: 4.2942 5.1968 4.2942 Å, 90.00 90.00 90.00°
Closest atoms and distances in Å follow each position.
Fractional positions:
Cr: 0.5000 0.0000 0.0000  2 V 2.15
Cr: 0.0000 0.0000 0.5000  2 V 2.15
Zn: 0.5000 0.5000 0.5000  4 Y 3.04, 8 Cr 3.37
Y: 0.0000 0.5000 0.0000  2 V 2.60
V: 0.0000 0.0000 0.0000  4 Cr 2.15

Values from the calculation:
Total moment = 0.00 μB per formula unit
Calculated formation energy = 1097.1 meV per atom

2.
Compound: Y2ZrVCr
Source: the Alexandria database
Functional: PBE
Structure: optimized geometry

Cell: 5.2634 4.8674 5.2634 Å, 90.00 90.00 90.00°
Closest atoms and distances in Å follow each position.
Fractional positions:
Cr: 0.5000 0.5000 0.5000  8 Y 3.58, 4 Zr 3.72
Y: 0.5000 0.0000 0.0000  2 V 2.63
Y: 0.0000 0.0000 0.5000  2 V 2.63
Zr: 0.0000 0.5000 0.0000  2 V 2.43
V: 0.0000 0.0000 0.0000  2 Zr 2.43, 4 Y 2.63

Values from the calculation:
Total moment = 3.96 μB per formula unit
Calculated formation energy = 834.4 meV per atom

3.
Compound: V2Zn2Cr
Source: the Alexandria database
Functional: PBE
Structure: optimized geometry

Cell: 6.6239 6.6239 3.2509 Å, 90.00 90.00 90.00°
Closest atoms and distances in Å follow each position.
Fractional positions:
Zn: 0.3719 0.8719 0.0000  1 Zn 2.40, 6 V 2.46-2.60, 2 Cr 2.61
Zn: 0.1281 0.3719 0.0000  1 Zn 2.40, 6 V 2.46-2.60, 2 Cr 2.61
Zn: 0.6281 0.1281 0.0000  1 Zn 2.40, 6 V 2.46-2.60, 2 Cr 2.61
Cr: 0.0000 0.0000 0.0000  4 Zn 2.61
Cr: 0.5000 0.5000 0.0000  4 Zn 2.61
Zn: 0.8719 0.6281 0.0000  1 Zn 2.40, 6 V 2.46-2.60, 2 Cr 2.61
V: 0.6742 0.8258 0.5000  6 Zn 2.46-2.60
V: 0.3258 0.1742 0.5000  6 Zn 2.46-2.60
V: 0.8258 0.3258 0.5000  6 Zn 2.46-2.60
V: 0.1742 0.6742 0.5000  6 Zn 2.46-2.60

Values from the calculation:
Total moment = 0.15 μB per formula unit
Calculated formation energy = 323.4 meV per atom

4.
Compound: VZn3Cr
Source: the Alexandria database
Functional: PBE
Structure: optimized geometry

Cell: 4.6918 4.6918 4.6918 Å, 90.00 90.00 90.00°
Closest atoms and distances in Å follow each position.
Fractional positions:
Zn: 0.0000 0.0000 0.5000  2 Cr 2.35
Zn: 0.0000 0.5000 0.0000  2 Cr 2.35
Cr: 0.0000 0.0000 0.0000  6 Zn 2.35
Zn: 0.5000 0.0000 0.0000  2 Cr 2.35
V: 0.5000 0.5000 0.5000  12 Zn 3.32

Values from the calculation:
Total moment = 6.73 μB per formula unit
Calculated formation energy = 1109.2 meV per atom